NaCr2AsF: relaxed, PBE with a Hubbard U.

Summary:
Its calculated total energy is -22.9 eV per formula unit. Its space-group type is P4/mmm (123). The calculation puts the magnetization at 9.31 μB/cell. The calculation puts the density of states at the Fermi level at 1.21 states/eV/cell.

Cell: 5.240 3.782 5.240 Å, 90.00 90.00 90.00°
Site moments in Bohr magnetons follow the coordinates.
Positions (direct):
Cr1 0.000 0.000 0.500  4.46
Cr2 0.500 0.000 0.000  4.41
As1 0.500 0.500 0.500  -0.29
F1 0.000 0.500 0.000  0.04
Na1 0.000 0.000 0.000  0.04